Record 1
BaSiSb2 | PBE | relaxed

Cell and atoms, written as POSCAR:
```
BaSiSb2
1.0
-2.442 2.442 4.909
2.442 -2.442 4.909
2.442 2.442 -4.909
Ba Si Sb
1 1 2
Direct
0.000 0.000 0.000
0.500 0.500 0.000
0.250 0.750 0.500
0.750 0.250 0.500
```

Computed properties:
The calculation puts the total moment at 0.00 Bohr magnetons per cell. The space group is I4/mmm, No. 139. The calculation puts the electronic total energy at -3.940 eV per atom. The density of states at the Fermi level is 2.12 states/eV/f.u. The calculation puts the formation energy without anion corrections at -0.0421 eV/atom.



Record 2
TiP2HCl | PBE | relaxed

Cell and atoms, written as POSCAR:
```
TiP2HCl
1.0
3.656 0.000 0.000
0.000 3.656 0.000
0.000 0.000 5.091
Ti P H Cl
1 2 1 1
Direct
0.000 0.000 0.000
0.000 0.500 0.500
0.500 0.000 0.500
0.500 0.500 0.500
0.500 0.500 0.000
```

Computed properties:
The calculation puts the total moment at 1.04 Bohr magnetons per cell. The space group is P4/mmm, No. 123. The calculation puts the electronic total energy at -4.602 eV per atom. For the energy above the most stable polymorph in this dataset, the calculation gives 0.00 kcal/mol of atoms. The density of states at the Fermi level is 3.98 states/eV/f.u.



Record 3
Cs2CuF5 | PBE | relaxed

Cell and atoms, written as POSCAR:
```
Cs2CuF5
1.0
-3.302 3.302 4.218
3.302 -3.302 4.218
3.302 3.302 -4.218
Cs Cu F
2 1 5
Direct
0.000 0.500 0.500
0.500 0.000 0.500
0.270 0.270 0.000
0.039 0.039 0.599
0.039 0.440 0.000
0.440 0.039 0.000
0.440 0.440 0.401
0.492 0.492 0.000
```

Computed properties:
The calculation puts the total moment at 1.83 Bohr magnetons per cell. The space group is I4mm, No. 107. The calculation puts the electronic total energy at -4.021 eV per atom. The density of states at the Fermi level is 4.30 states/eV/f.u. The calculation puts the formation energy without anion corrections at -2.1262 eV/atom.



Record 4
Tm3Pt2 | PBE | relaxed

Cell and atoms, written as POSCAR:
```
Tm3Pt2
1.0
11.017 0.000 0.000
0.000 3.858 0.000
0.000 0.000 11.284
Tm Pt
12 8
Direct
0.051 0.250 0.130
0.120 0.750 0.561
0.218 0.250 0.808
0.282 0.750 0.308
0.380 0.250 0.061
0.449 0.750 0.630
0.551 0.250 0.370
0.620 0.750 0.939
0.718 0.250 0.692
0.782 0.750 0.192
0.880 0.250 0.439
0.949 0.750 0.870
0.017 0.750 0.317
0.186 0.750 0.994
0.314 0.250 0.494
0.483 0.250 0.817
0.517 0.750 0.183
0.686 0.750 0.506
0.814 0.250 0.006
0.983 0.250 0.683
```

Computed properties:
The calculation puts the total moment at 0.00 Bohr magnetons per cell. The space group is Pnma, No. 62. The calculation puts the electronic total energy at -6.216 eV per atom. For the energy above the most stable polymorph in this dataset, the calculation gives 0.25 kcal/mol of atoms. For the energy relative to the elements, the calculation gives -1.117 eV per atom. The density of states at the Fermi level is 3.19 states/eV/f.u.



Record 5
ScGeNF | PBE | relaxed

Cell and atoms, written as POSCAR:
```
ScGeNF
1.0
-1.477 1.504 7.047
1.477 -1.504 7.047
1.477 1.504 -7.047
Sc Ge N F
1 1 1 1
Direct
0.000 0.000 0.000
0.674 0.174 0.500
0.564 0.564 0.000
0.398 0.898 0.500
```

Computed properties:
The calculation puts the total moment at 0.00 Bohr magnetons per cell. The space group is Imm2, No. 44. The calculation puts the electronic total energy at -6.832 eV per atom. For the energy above the most stable polymorph in this dataset, the calculation gives 5.14 kcal/mol of atoms. The density of states at the Fermi level is 1.12 states/eV/f.u. The calculation puts the formation energy without anion corrections at -1.5451 eV/atom.



Record 6
Mg4CdPt | PBE | relaxed

Cell and atoms, written as POSCAR:
```
Mg4CdPt
1.0
0.000 3.888 3.888
3.888 0.000 3.888
3.888 3.888 0.000
Mg Cd Pt
4 1 1
Direct
0.124 0.124 0.124
0.124 0.124 0.627
0.124 0.627 0.124
0.627 0.124 0.124
0.500 0.500 0.500
0.750 0.750 0.750
```

Computed properties:
The calculation puts the total moment at 0.00 Bohr magnetons per cell. The space group is F-43m, No. 216. The calculation puts the electronic total energy at -2.223 eV per atom. For the energy above the most stable polymorph in this dataset, the calculation gives 9.42 kcal/mol of atoms. For the energy relative to the elements, the calculation gives -0.001 eV per atom. The density of states at the Fermi level is 1.97 states/eV/f.u.



Record 7
KSm3F10 | PBE | relaxed

Cell and atoms, written as POSCAR:
```
KSm3F10
1.0
0.000 5.981 5.981
5.981 0.000 5.981
5.981 5.981 0.000
K Sm F
2 6 20
Direct
0.250 0.250 0.250
0.750 0.750 0.750
0.240 0.240 0.760
0.240 0.760 0.240
0.240 0.760 0.760
0.760 0.240 0.240
0.760 0.240 0.760
0.760 0.760 0.240
0.112 0.112 0.112
0.112 0.112 0.664
0.112 0.664 0.112
0.170 0.500 0.500
0.170 0.500 0.830
0.170 0.830 0.500
0.336 0.888 0.888
0.500 0.170 0.500
0.500 0.170 0.830
0.500 0.500 0.170
0.500 0.500 0.830
0.500 0.830 0.170
0.500 0.830 0.500
0.664 0.112 0.112
0.830 0.170 0.500
0.830 0.500 0.170
0.830 0.500 0.500
0.888 0.336 0.888
0.888 0.888 0.336
0.888 0.888 0.888
```

Computed properties:
The calculation puts the total moment at 0.40 Bohr magnetons per cell. The space group is Fm-3m, No. 225. The calculation puts the electronic total energy at -6.385 eV per atom. The density of states at the Fermi level is 0.00 states/eV/f.u. The calculation puts the formation energy without anion corrections at -3.9586 eV/atom.



Record 8
Sb2Pd4Pt | PBE | relaxed

Cell and atoms, written as POSCAR:
```
Sb2Pd4Pt
1.0
4.021 0.000 0.000
0.000 4.021 0.000
0.000 0.000 7.797
Sb Pd Pt
2 4 1
Direct
0.000 0.000 0.000
0.500 0.500 0.500
0.000 0.500 0.230
0.000 0.500 0.770
0.500 0.000 0.230
0.500 0.000 0.770
0.000 0.000 0.500
```

Computed properties:
The calculation puts the total moment at 0.00 Bohr magnetons per cell. The space group is P4/mmm, No. 123. The calculation puts the electronic total energy at -5.358 eV per atom. For the energy above the most stable polymorph in this dataset, the calculation gives 0.00 kcal/mol of atoms. The density of states at the Fermi level is 4.88 states/eV/f.u. The calculation puts the formation energy without anion corrections at -0.3501 eV/atom.



Record 9
BeAlTl2Mo | PBE | relaxed

Cell and atoms, written as POSCAR:
```
BeAlTl2Mo
1.0
5.408 0.000 0.000
0.000 5.408 0.000
0.000 0.000 4.912
Be Al Tl Mo
1 1 2 1
Direct
0.000 0.000 0.000
0.500 0.500 0.000
0.000 0.500 0.500
0.500 0.000 0.500
0.500 0.500 0.500
```

Computed properties:
The calculation puts the total moment at 1.07 Bohr magnetons per cell. The space group is P4/mmm, No. 123. The calculation puts the electronic total energy at -3.411 eV per atom. For the energy relative to the elements, the calculation gives 1.195 eV per atom. The density of states at the Fermi level is 4.55 states/eV/f.u.



Record 10
HoUCl6 | PBE | relaxed

Cell and atoms, written as POSCAR:
```
HoUCl6
1.0
3.378 -6.207 0.000
3.378 6.207 0.000
-1.833 0.000 6.499
Ho U Cl
1 1 6
Direct
0.000 0.000 0.000
0.500 0.500 0.500
0.095 0.383 0.241
0.247 0.247 0.757
0.383 0.095 0.241
0.617 0.905 0.759
0.753 0.753 0.243
0.905 0.617 0.759
```

Computed properties:
The calculation puts the total moment at 3.00 Bohr magnetons per cell. The space group is C2/m, No. 12. The calculation puts the electronic total energy at -5.313 eV per atom. The density of states at the Fermi level is 2.70 states/eV/f.u. The calculation puts the formation energy without anion corrections at -1.9450 eV/atom.



Record 11
LiSeCl2 | PBE | relaxed

Cell and atoms, written as POSCAR:
```
LiSeCl2
1.0
3.403 0.000 0.000
0.000 3.403 0.000
0.000 0.000 7.503
Li Se Cl
1 1 2
Direct
0.000 0.000 0.000
0.500 0.500 0.423
0.000 0.000 0.705
0.500 0.500 0.107
```

Computed properties:
The calculation puts the total moment at 0.42 Bohr magnetons per cell. The space group is P4mm, No. 99. The calculation puts the electronic total energy at -2.805 eV per atom. For the energy above the most stable polymorph in this dataset, the calculation gives 6.18 kcal/mol of atoms. The density of states at the Fermi level is 1.74 states/eV/f.u. The calculation puts the formation energy without anion corrections at -0.5324 eV/atom.



Record 12
La2YTl | PBE | relaxed

Cell and atoms, written as POSCAR:
```
La2YTl
1.0
1.874 1.082 11.257
-1.874 1.082 11.257
0.000 -2.164 11.257
La Y Tl
2 1 1
Direct
0.000 0.000 0.000
0.174 0.174 0.174
0.421 0.421 0.421
0.587 0.587 0.587
```

Computed properties:
The calculation puts the total moment at 0.55 Bohr magnetons per cell. The space group is R3m, No. 160. The calculation puts the electronic total energy at -4.767 eV per atom. For the energy above the most stable polymorph in this dataset, the calculation gives 2.83 kcal/mol of atoms. For the energy relative to the elements, the calculation gives -0.096 eV per atom. The density of states at the Fermi level is 6.02 states/eV/f.u.